VASP calculation (GGA-PBE) on a geometry-optimized AcNdTeO6 structure.

## Properties
- Total moment: 0.0 μB/f.u.
- Electronic total energy: -125.5 eV per cell
- N(E_F): 0.0 states/eV/cell
- ΔE_f (raw): -2.330 eV per atom

a = 5.9385 Å, b = 5.9385 Å, c = 9.3057 Å
α = 90.00°, β = 90.00°, γ = 120.00°
Positions (direct):
Ac 0.3333 0.6667 0.2500
Ac 0.6667 0.3333 0.7500
Nd 0.0000 0.0000 0.0000
Nd 0.0000 0.0000 0.5000
Te 0.3333 0.6667 0.7500
Te 0.6667 0.3333 0.2500
O 0.0697 0.3829 0.6312
O 0.0697 0.6869 0.8688
O 0.3131 0.3829 0.8688
O 0.3131 0.9303 0.6312
O 0.3829 0.0697 0.1312
O 0.3829 0.3131 0.3688
O 0.6171 0.6869 0.6312
O 0.6171 0.9303 0.8688
O 0.6869 0.0697 0.3688
O 0.6869 0.6171 0.1312
O 0.9303 0.3131 0.1312
O 0.9303 0.6171 0.3688